A geometry-optimized Pm8Sb2Ru structure. Source: Alexandria, functional GGA-PBE.

Summary:
* N(E_F): 11.0 states/eV/cell
* raw formation energy: -453 meV/atom
* density: 7423 kg/m3

Cell: 4.7314 7.4965 9.8872 Å, 98.44 103.84 90.00°
Element x y z (fractional)
Sb (0.1817, 0.7671, 0.3633)
Sb (0.8183, 0.2329, 0.6367)
Pm (0.2161, 0.3473, 0.4321)
Pm (0.7839, 0.6527, 0.5679)
Pm (0.9945, 0.2209, 0.9891)
Pm (0.5951, 0.5119, 0.1903)
Pm (0.4049, 0.4881, 0.8097)
Pm (0.0055, 0.7791, 0.0109)
Pm (0.6437, 0.0277, 0.2875)
Pm (0.3563, 0.9723, 0.7125)
Ru (0.5000, 0.0000, 0.0000)

***

A geometry-optimized CaTe2Au2 structure. Source: Alexandria, functional GGA-PBE.

Summary:
* N(E_F): 0.1 states/eV/cell
* raw formation energy: -466 meV/atom
* density: 8822 kg/m3

Cell: 4.1070 4.1070 8.2212 Å, 75.54 75.54 90.00°
Element x y z (fractional)
Ca (0.0000, 0.0000, 0.0000)
Te (0.6093, 0.6093, 0.7815)
Te (0.3907, 0.3907, 0.2185)
Au (0.7500, 0.2500, 0.5000)
Au (0.2500, 0.7500, 0.5000)

***

A geometry-optimized SmThZr2 structure. Source: Alexandria, functional GGA-PBE.

Summary:
* N(E_F): 5.0 states/eV/cell
* E_form: 0.128 eV/atom
* density: 8367 kg/m3

Cell: 3.9815 3.9815 7.0711 Å, 90.00 90.00 90.00°
Element x y z (fractional)
Zr (0.0000, 0.0000, 0.7838)
Zr (0.0000, 0.0000, 0.2162)
Th (0.5000, 0.5000, 0.0000)
Sm (0.5000, 0.5000, 0.5000)

***

A geometry-optimized Rb2LaTiB structure. Source: Alexandria, functional GGA-PBE.

Summary:
* N(E_F): 4.8 states/eV/cell
* E_form: 1.194 eV/atom
* density: 3375 kg/m3

Cell: 6.5271 4.2556 6.5271 Å, 90.00 90.00 90.00°
Each line ends with the local moment (μB).
Element x y z (fractional)
B (0.0000, 0.0000, 0.0000)  -0.01
Ti (0.0000, 0.5000, 0.0000)  0.54
Rb (0.5000, 0.0000, 0.0000)  0.01
Rb (0.0000, 0.0000, 0.5000)  0.02
La (0.5000, 0.5000, 0.5000)  0.32

***

A geometry-optimized LaZn4Rh structure. Source: Alexandria, functional GGA-PBE.

Summary:
* N(E_F): 0.0 states/eV/cell
* E_form: -0.369 eV/atom
* density: 8069 kg/m3

Cell: 5.2719 5.2719 5.2719 Å, 60.00 60.00 60.00°
Element x y z (fractional)
Zn (0.1186, 0.6271, 0.6271)
Zn (0.6271, 0.1186, 0.6271)
Zn (0.6271, 0.6271, 0.1186)
Zn (0.6271, 0.6271, 0.6271)
Rh (0.0000, 0.0000, 0.0000)
La (0.2500, 0.2500, 0.2500)

***

A geometry-optimized Dy12Tm7Cd structure. Source: Alexandria, functional GGA-PBE.

Summary:
* N(E_F): 42.5 states/eV/cell
* E_form: 0.200 eV/atom
* density: 8327 kg/m3

Cell: 8.6501 8.6501 8.6501 Å, 89.34 89.34 89.34°
Element x y z (fractional)
Dy (0.3365, 0.8905, 0.0069)
Dy (0.9931, 0.6635, 0.1095)
Dy (0.8778, 0.6569, 0.5341)
Dy (0.1222, 0.3431, 0.4659)
Dy (0.8905, 0.0069, 0.3365)
Dy (0.5341, 0.8778, 0.6569)
Dy (0.6569, 0.5341, 0.8778)
Dy (0.0069, 0.3365, 0.8905)
Dy (0.4659, 0.1222, 0.3431)
Dy (0.1095, 0.9931, 0.6635)
Dy (0.3431, 0.4659, 0.1222)
Dy (0.6635, 0.1095, 0.9931)
Tm (0.2205, 0.6260, 0.7582)
Tm (0.5000, 0.5000, 0.5000)
Tm (0.2418, 0.7795, 0.3740)
Tm (0.7582, 0.2205, 0.6260)
Tm (0.3740, 0.2418, 0.7795)
Tm (0.6260, 0.7582, 0.2205)
Tm (0.7795, 0.3740, 0.2418)
Cd (0.0000, 0.0000, 0.0000)

***

A geometry-optimized CoPRuCl2 structure. Source: Alexandria, functional GGA-PBE.

Summary:
* N(E_F): 4.6 states/eV/cell
* raw formation energy: 794 meV/atom
* density: 4706 kg/m3

Cell: 4.6329 4.6329 4.3056 Å, 90.00 90.00 90.00°
Each line ends with the local moment (μB).
Element x y z (fractional)
Cl (0.5000, 0.0000, 0.0000)  0.07
Cl (0.0000, 0.5000, 0.0000)  0.07
Co (0.0000, 0.0000, 0.0000)  -0.25
P (0.0000, 0.0000, 0.5000)  -0.01
Ru (0.5000, 0.5000, 0.5000)  2.57

***

A geometry-optimized Zn2PBr structure. Source: Alexandria, functional GGA-PBE.

Summary:
* N(E_F): 1.5 states/eV/cell
* raw formation energy: -162 meV/atom
* density: 4598 kg/m3

Cell: 3.5741 3.5741 6.8324 Å, 90.00 90.00 90.00°
Element x y z (fractional)
Zn (0.5000, 0.5000, 0.2531)
Zn (0.0000, 0.0000, 0.9014)
P (0.5000, 0.5000, 0.9175)
Br (0.0000, 0.0000, 0.4280)

***

A geometry-optimized Nd3Al3Cu2 structure. Source: Alexandria, functional GGA-PBE.

Summary:
* N(E_F): 12.3 states/eV/cell
* E_form: -0.355 eV/atom
* density: 5937 kg/m3

Cell: 4.5565 5.6825 15.1109 Å, 90.00 90.00 113.64°
Element x y z (fractional)
Al (0.3085, 0.6170, 0.2500)
Al (0.3803, 0.7606, 0.5353)
Al (0.3803, 0.7606, 0.9647)
Al (0.6915, 0.3830, 0.7500)
Al (0.6197, 0.2394, 0.4647)
Al (0.6197, 0.2394, 0.0353)
Cu (0.1999, 0.3998, 0.4030)
Cu (0.8001, 0.6002, 0.5970)
Cu (0.1999, 0.3998, 0.0970)
Cu (0.8001, 0.6002, 0.9030)
Nd (0.0977, 0.1955, 0.8891)
Nd (0.6073, 0.2147, 0.2500)
Nd (0.9023, 0.8045, 0.1109)
Nd (0.9023, 0.8045, 0.3891)
Nd (0.0977, 0.1955, 0.6109)
Nd (0.3927, 0.7853, 0.7500)

***

A geometry-optimized Th8As2C3 structure. Source: Alexandria, functional GGA-PBE.

Summary:
* N(E_F): 8.8 states/eV/cell
* E_form: -0.454 eV/atom
* density: 9871 kg/m3

Cell: 6.6338 7.4353 8.1209 Å, 117.24 103.55 90.00°
Element x y z (fractional)
Th (0.3898, 0.3504, 0.2017)
Th (0.1094, 0.8958, 0.7915)
Th (0.9220, 0.6014, 0.2029)
Th (0.6102, 0.6496, 0.7983)
Th (0.3898, 0.8513, 0.2017)
Th (0.6102, 0.1487, 0.7983)
Th (0.8906, 0.1042, 0.2085)
Th (0.0780, 0.3986, 0.7971)
C (0.5000, 0.0000, 0.0000)
C (0.0000, 0.7663, 0.0000)
C (0.0000, 0.2337, 0.0000)
As (0.3215, 0.2523, 0.5046)
As (0.6785, 0.7477, 0.4954)

***

A geometry-optimized NbHg3Sb structure. Source: Alexandria, functional GGA-PBE.

Summary:
* N(E_F): 2.6 states/eV/cell
* raw formation energy: 887 meV/atom
* density: 8720 kg/m3

Cell: 5.3770 5.3770 5.3770 Å, 90.00 90.00 90.00°
Element x y z (fractional)
Hg (0.5000, 0.0000, 0.0000)
Hg (0.0000, 0.5000, 0.0000)
Hg (0.0000, 0.0000, 0.5000)
Sb (0.5000, 0.5000, 0.5000)
Nb (0.0000, 0.0000, 0.0000)

***

A geometry-optimized BaLi2CuH structure. Source: Alexandria, functional GGA-PBE.

Summary:
* N(E_F): 1.9 states/eV/cell
* final energy: -0.19519 Ry/atom
* density: 3493 kg/m3

Cell: 4.3095 4.3095 5.5231 Å, 90.00 90.00 90.00°
Element x y z (fractional)
Li (0.0000, 0.5000, 0.0000)
Li (0.5000, 0.0000, 0.0000)
Ba (0.0000, 0.0000, 0.5000)
Cu (0.5000, 0.5000, 0.5000)
H (0.0000, 0.0000, 0.0000)

***

A geometry-optimized K3RuF7 structure. Source: Alexandria, functional GGA-PBE.

Summary:
* raw formation energy: -2302 meV/atom
* density: 3080 kg/m3

Cell: 6.2241 6.2241 6.4470 Å, 62.15 62.15 88.38°
Each line ends with the local moment (μB).
Element x y z (fractional)
F (0.1268, 0.1268, 0.1474)  0.00
F (0.2867, 0.0119, 0.7190)  0.00
F (0.6722, 0.1081, 0.1741)  0.00
F (0.0119, 0.2867, 0.7190)  0.00
F (0.8014, 0.8014, 0.9028)  0.01
F (0.1081, 0.6722, 0.1741)  0.00
F (0.6866, 0.6866, 0.4209)  0.00
Ru (0.9573, 0.9573, 0.0352)  0.11
K (0.4876, 0.4876, 0.9686)  0.00
K (0.2260, 0.7604, 0.4944)  0.00
K (0.7604, 0.2260, 0.4944)  0.00

***

A geometry-optimized LaSc2Cd structure. Source: Alexandria, functional GGA-PBE.

Summary:
* N(E_F): 5.6 states/eV/cell
* E_form: -0.024 eV/atom
* density: 5275 kg/m3

Cell: 5.0120 3.4259 6.4750 Å, 75.06 90.00 90.00°
Element x y z (fractional)
Sc (0.0000, 0.4205, 0.4773)
Sc (0.0000, 0.0795, 0.0227)
Cd (0.5000, 0.2500, 0.2500)
La (0.5000, 0.7500, 0.7500)

***

A geometry-optimized Ho3Tl2Au structure. Source: Alexandria, functional GGA-PBE.

Summary:
* N(E_F): 3.3 states/eV/cell
* E_form: -0.514 eV/atom
* density: 11833 kg/m3

Cell: 3.5798 3.5798 12.0512 Å, 90.00 90.00 90.00°
Each line ends with the local moment (μB).
Element x y z (fractional)
Ho (0.0000, 0.0000, 0.6471)  -0.01
Ho (0.0000, 0.0000, 0.3529)  -0.01
Ho (0.0000, 0.0000, 0.0000)  0.11
Au (0.5000, 0.5000, 0.5000)  0.00
Tl (0.5000, 0.5000, 0.8245)  0.00
Tl (0.5000, 0.5000, 0.1755)  0.00

***

A geometry-optimized La3Sm3Ho structure. Source: Alexandria, functional GGA-PBE.

Summary:
* N(E_F): 23.4 states/eV/cell
* E_form: 0.032 eV/atom
* density: 6962 kg/m3

Cell: 5.8929 9.8249 9.8249 Å, 120.00 90.00 90.00°
Element x y z (fractional)
Ho (0.2500, 0.6667, 0.3333)
Ho (0.7500, 0.3333, 0.6667)
La (0.2500, 0.2434, 0.1953)
La (0.7500, 0.7566, 0.8047)
La (0.7500, 0.0482, 0.2434)
La (0.2500, 0.8047, 0.0482)
La (0.7500, 0.1953, 0.9518)
La (0.2500, 0.9518, 0.7566)
Sm (0.2500, 0.5191, 0.6145)
Sm (0.7500, 0.9046, 0.5191)
Sm (0.2500, 0.3855, 0.9046)
Sm (0.2500, 0.0954, 0.4809)
Sm (0.7500, 0.6145, 0.0954)
Sm (0.7500, 0.4809, 0.3855)

***

A geometry-optimized AlCrNi6 structure. Source: Alexandria, functional GGA-PBE.

Summary:
* N(E_F): 8.0 states/eV/cell
* E_form: -0.235 eV/atom
* density: 8001 kg/m3

Cell: 3.5479 3.5479 7.1084 Å, 90.00 90.00 90.00°
Each line ends with the local moment (μB).
Element x y z (fractional)
Ni (0.5000, 0.5000, 0.0000)  -0.05
Ni (0.0000, 0.5000, 0.2551)  -0.06
Ni (0.5000, 0.0000, 0.2551)  -0.06
Ni (0.5000, 0.5000, 0.5000)  -0.03
Ni (0.0000, 0.5000, 0.7449)  -0.06
Ni (0.5000, 0.0000, 0.7449)  -0.06
Cr (0.0000, 0.0000, 0.5000)  1.63
Al (0.0000, 0.0000, 0.0000)  0.00

***

A geometry-optimized LiInAs2 structure. Source: Alexandria, functional GGA-PBE.

Summary:
* N(E_F): 1.7 states/eV/cell
* E_form: -0.044 eV/atom
* density: 5292 kg/m3

Cell: 3.4839 3.4839 7.0210 Å, 90.00 90.00 89.98°
Element x y z (fractional)
As (0.5000, 0.5000, 0.1740)
As (0.0000, 0.0000, 0.0195)
Li (0.5000, 0.5000, 0.7905)
In (0.0000, 0.0000, 0.5160)

***

A geometry-optimized Ca3CrIr structure. Source: Alexandria, functional GGA-PBE.

Summary:
* N(E_F): 3.1 states/eV/cell
* E_form: 0.258 eV/atom
* density: 3694 kg/m3

Cell: 5.4716 5.4716 5.4716 Å, 90.00 90.00 90.00°
Each line ends with the local moment (μB).
Element x y z (fractional)
Ca (0.0000, 0.0000, 0.5000)  0.02
Ca (0.5000, 0.0000, 0.0000)  0.00
Ca (0.0000, 0.5000, 0.0000)  0.01
Cr (0.5000, 0.5000, 0.5000)  4.20
Ir (0.0000, 0.0000, 0.0000)  0.08

***

A geometry-optimized SbPS2 structure. Source: Alexandria, functional GGA-PBE.

Summary:
* N(E_F): 2.3 states/eV/cell
* raw formation energy: 525 meV/atom
* density: 4916 kg/m3

Cell: 4.6965 4.6965 4.6965 Å, 60.00 60.00 60.00°
Element x y z (fractional)
P (0.0000, 0.0000, 0.0000)
S (0.7500, 0.7500, 0.7500)
S (0.2500, 0.2500, 0.2500)
Sb (0.5000, 0.5000, 0.5000)